The following is a GGA-PBE calculation of a relaxed structure of Sr3LiPd, from the Alexandria database. Values from VASP.

```
&SYSTEM
  ibrav = 0, nat = 20, ntyp = 3
/
ATOMIC_SPECIES
Sr 87.62 Sr.upf
Li 6.94 Li.upf
Pd 106.42 Pd.upf
ATOMIC_POSITIONS crystal
Sr 0.0344 0.1992 0.1240
Sr 0.1245 0.5915 0.3818
Sr 0.1992 0.0344 0.6240
Sr 0.2382 0.4071 0.8711
Sr 0.4071 0.2382 0.3711
Sr 0.4085 0.8755 0.1182
Sr 0.5915 0.1245 0.8818
Sr 0.5929 0.7618 0.6289
Sr 0.7618 0.5929 0.1289
Sr 0.8008 0.9656 0.3760
Sr 0.8755 0.4085 0.6182
Sr 0.9656 0.8008 0.8760
Li 0.3198 0.6802 0.7500
Li 0.4548 0.5452 0.2500
Li 0.5452 0.4548 0.7500
Li 0.6802 0.3198 0.2500
Pd 0.1387 0.3108 0.4894
Pd 0.3108 0.1387 0.9894
Pd 0.6892 0.8613 0.0106
Pd 0.8613 0.6892 0.5106
CELL_PARAMETERS angstrom
8.3697 -6.5010 0.0000
8.3697 6.5010 0.0000
-1.2416 0.0000 7.4243
```

Output
The calculation puts the total moment at 0.00 μB per cell. The calculated total energy comes out at -2.64 eV per atom. The calculation puts the formation energy from the elements at -0.2076 eV/atom. The energy relative to the lowest polymorph listed for this composition is 68.3 meV per atom. Its space group is C2/c (15).